HfMoO3 (GGA+U, relaxed); E = -37.55 eV/cell; space group = Pm-3m
1.0
4.001 0.000 0.000
0.000 4.001 0.000
0.000 0.000 4.001
Mo Hf O
1 1 3
Direct
0.000 0.000 0.000 Mo
0.500 0.500 0.500 Hf
0.000 0.500 0.000 O
0.000 0.000 0.500 O
0.500 0.000 0.000 O